NaCdPb14: optimized geometry, GGA-PBE.

Computed properties:
Crystal system = tetragonal
Total DFT energy (no corrections) = -3.402 eV/atom

Lattice parameters (Å, degrees): 7.0535 7.0535 9.8816 90.00 90.00 90.00
Fractional coordinates of all 16 atoms:
Na  0.0000  0.0000  0.0000
Cd  0.5000  0.5000  0.0000
Pb  0.0000  0.0000  0.5000
Pb  0.0000  0.5000  0.0000
Pb  0.0000  0.5000  0.5000
Pb  0.2529  0.2529  0.2459
Pb  0.2529  0.2529  0.7541
Pb  0.2529  0.7471  0.2459
Pb  0.2529  0.7471  0.7541
Pb  0.5000  0.0000  0.0000
Pb  0.5000  0.0000  0.5000
Pb  0.5000  0.5000  0.5000
Pb  0.7471  0.2529  0.2459
Pb  0.7471  0.2529  0.7541
Pb  0.7471  0.7471  0.2459
Pb  0.7471  0.7471  0.7541

=====

NaCd2Pb4: optimized geometry, GGA-PBE.

Computed properties:
Crystal system = orthorhombic
Total DFT energy (no corrections) = -2.581 eV/atom

Lattice parameters (Å, degrees): 10.5845 10.5845 3.5212 90.00 90.00 148.38
Fractional coordinates of all 7 atoms:
Na  0.0000  0.0000  0.0000
Cd  0.4306  0.5694  0.5000
Cd  0.5694  0.4306  0.5000
Pb  0.1492  0.8508  0.5000
Pb  0.2952  0.7048  0.0000
Pb  0.7048  0.2952  0.0000
Pb  0.8508  0.1492  0.5000